! GGA-PBEsol ZrIrPb2, optimized geometry; values from VASP
! SG	F-43m
! DFT formation energy	174.6	meV per atom
! energy relative to the lowest polymorph listed for this composition	104	meV per atom
&SYSTEM
  ibrav = 0, nat = 4, ntyp = 3
/
ATOMIC_SPECIES
Zr 91.22 Zr.upf
Ir 192.22 Ir.upf
Pb 207.20 Pb.upf
CELL_PARAMETERS angstrom
0.0000 3.4924 3.4924
3.4924 0.0000 3.4924
3.4924 3.4924 0.0000
ATOMIC_POSITIONS angstrom
Zr 0.0000 0.0000 0.0000
Ir 1.7462 1.7462 1.7462
Pb 3.4924 3.4924 3.4924
Pb 5.2386 5.2386 5.2386

***

! GGA-PBEsol SrSiPt2, optimized geometry; values from VASP
! SG	I-4m2
! calculated total energy	-5.573	eV/atom
&SYSTEM
  ibrav = 0, nat = 4, ntyp = 3
/
ATOMIC_SPECIES
Sr 87.62 Sr.upf
Si 28.09 Si.upf
Pt 195.08 Pt.upf
CELL_PARAMETERS angstrom
-2.0320 2.0320 4.3943
2.0320 -2.0320 4.3943
2.0320 2.0320 -4.3943
ATOMIC_POSITIONS angstrom
Sr 0.0000 0.0000 0.0000
Si 2.0320 0.0000 2.1972
Pt 0.0000 0.0000 4.3943
Pt 0.0000 2.0320 2.1972

***

! GGA-PBEsol Sm3Se4, optimized geometry; values from VASP
! SG	I-43d
! calculated total energy	-6.273	eV/atom
&SYSTEM
  ibrav = 0, nat = 14, ntyp = 2
/
ATOMIC_SPECIES
Sm 150.36 Sm.upf
Se 78.96 Se.upf
CELL_PARAMETERS angstrom
-4.3473 4.3473 4.3473
4.3473 -4.3473 4.3473
4.3473 4.3473 -4.3473
ATOMIC_POSITIONS angstrom
Sm 4.3473 -2.1736 3.2605
Sm 3.2605 4.3473 -2.1736
Sm 4.3473 2.1736 1.0868
Sm 2.1736 1.0868 4.3473
Sm 1.0868 4.3473 2.1736
Sm -2.1736 3.2605 4.3473
Se 2.8284 1.5189 -1.5189
Se 5.0020 -0.6547 0.6547
Se 1.5189 -1.5189 2.8284
Se 1.5189 1.5189 1.5189
Se -1.5189 2.8284 1.5189
Se 0.6547 5.0020 -0.6547
Se -0.6547 0.6547 5.0020
Se 3.6925 3.6925 3.6925

***

! GGA-PBEsol Ba3TlIn, optimized geometry; values from VASP
! SG	Pm-3m
! DFT formation energy	89.2	meV per atom
&SYSTEM
  ibrav = 0, nat = 5, ntyp = 3
/
ATOMIC_SPECIES
Ba 137.33 Ba.upf
Tl 204.38 Tl.upf
In 114.82 In.upf
CELL_PARAMETERS angstrom
6.4953 0.0000 0.0000
0.0000 6.4953 0.0000
0.0000 0.0000 6.4953
ATOMIC_POSITIONS angstrom
Ba 0.0000 0.0000 3.2477
Ba 0.0000 3.2477 0.0000
Ba 3.2477 0.0000 0.0000
Tl 0.0000 0.0000 0.0000
In 3.2477 3.2477 3.2477

***

! GGA-PBEsol Nb3CoS, optimized geometry; values from VASP
! SG	Pm-3m
! calculated total energy	-8.435	eV/atom
&SYSTEM
  ibrav = 0, nat = 5, ntyp = 3
/
ATOMIC_SPECIES
Nb 92.91 Nb.upf
Co 58.93 Co.upf
S 32.06 S.upf
CELL_PARAMETERS angstrom
4.4912 0.0000 0.0000
0.0000 4.4912 0.0000
0.0000 0.0000 4.4912
ATOMIC_POSITIONS angstrom
Nb 0.0000 0.0000 2.2456
Nb 0.0000 2.2456 0.0000
Nb 2.2456 0.0000 0.0000
Co 2.2456 2.2456 2.2456
S 0.0000 0.0000 0.0000

***

! GGA-PBEsol YSnSb2, optimized geometry; values from VASP
! SG	I-42d
! calculated total energy	-5.184	eV/atom
&SYSTEM
  ibrav = 0, nat = 8, ntyp = 3
/
ATOMIC_SPECIES
Y 88.91 Y.upf
Sn 118.71 Sn.upf
Sb 121.76 Sb.upf
CELL_PARAMETERS angstrom
-3.4072 3.4072 6.7173
3.4072 -3.4072 6.7173
3.4072 3.4072 -6.7173
ATOMIC_POSITIONS angstrom
Y 0.0000 0.0000 0.0000
Y 0.0000 3.4072 3.3586
Sn 3.4072 0.0000 3.3586
Sn 0.0000 0.0000 6.7173
Sb 1.7036 -1.6307 5.0380
Sb 1.7765 1.7036 1.6793
Sb 1.7036 5.0380 -1.6793
Sb 1.6307 1.7036 8.3966

***

! GGA-PBEsol NiRh3, optimized geometry; values from VASP
! SG	P4/mmm
! DFT formation energy	32.3	meV per atom
&SYSTEM
  ibrav = 0, nat = 4, ntyp = 2
/
ATOMIC_SPECIES
Ni 58.69 Ni.upf
Rh 102.91 Rh.upf
CELL_PARAMETERS angstrom
2.6571 0.0000 0.0000
0.0000 2.6571 0.0000
0.0000 0.0000 7.2304
ATOMIC_POSITIONS angstrom
Ni 0.0000 0.0000 0.0000
Rh 0.0000 0.0000 3.6152
Rh 1.3286 1.3286 1.7339
Rh 1.3286 1.3286 5.4965

***

! GGA-PBEsol ZrTeBr2, optimized geometry; values from VASP
! SG	Imm2
! energy relative to the lowest polymorph listed for this composition	0	meV per atom
&SYSTEM
  ibrav = 0, nat = 4, ntyp = 3
/
ATOMIC_SPECIES
Zr 91.22 Zr.upf
Te 127.60 Te.upf
Br 79.90 Br.upf
CELL_PARAMETERS angstrom
-1.6218 2.5739 7.0618
1.6218 -2.5739 7.0618
1.6218 2.5739 -7.0618
ATOMIC_POSITIONS angstrom
Zr 0.0000 0.0000 0.0000
Te 0.0000 2.5739 4.6488
Br 1.6218 0.0000 2.1332
Br 0.0000 0.0000 7.1094

***

! GGA-PBEsol Li3CuAsCO7, optimized geometry; values from VASP
! SG	P2_1/m
! calculated total energy	-6.287	eV/atom
&SYSTEM
  ibrav = 0, nat = 26, ntyp = 5
/
ATOMIC_SPECIES
Li 6.94 Li.upf
Cu 63.55 Cu.upf
As 74.92 As.upf
C 12.01 C.upf
O 16.00 O.upf
CELL_PARAMETERS angstrom
5.1558 0.0000 0.0000
0.0000 6.2403 0.0000
-1.8048 0.0000 8.4146
ATOMIC_POSITIONS angstrom
Li 0.6231 1.5601 0.6680
Li -0.0969 3.1312 6.1207
Li -0.0969 6.2292 6.1207
Li 3.4480 0.0111 2.2939
Li 3.4480 3.1091 2.2939
Li 2.7280 4.6802 7.7466
Cu 0.6989 4.6802 2.5784
Cu 2.6521 1.5601 5.8362
As 0.7863 1.5601 3.4775
As 2.5647 4.6802 4.9371
C 2.1164 4.6802 0.0925
C 1.2346 1.5601 8.3221
O 0.3391 0.2932 2.3857
O 0.3391 2.8270 2.3857
O 0.9141 4.6802 0.5987
O -0.0184 1.5601 4.9562
O 0.1815 1.5601 7.5854
O 0.8779 4.6802 4.5767
O 0.4283 4.6802 7.2233
O 2.9227 1.5601 1.1913
O 2.4731 1.5601 3.8379
O 3.1696 4.6802 0.8291
O 3.3694 4.6802 3.4584
O 2.4370 1.5601 7.8159
O 3.0120 3.4133 6.0288
O 3.0120 5.9471 6.0288

***

! GGA-PBEsol BaAs2Rh, optimized geometry; values from VASP
! SG	Immm
! DFT formation energy	-414.5	meV per atom
&SYSTEM
  ibrav = 0, nat = 4, ntyp = 3
/
ATOMIC_SPECIES
Ba 137.33 Ba.upf
As 74.92 As.upf
Rh 102.91 Rh.upf
CELL_PARAMETERS angstrom
-1.6848 2.9817 4.6113
1.6848 -2.9817 4.6113
1.6848 2.9817 -4.6113
ATOMIC_POSITIONS angstrom
Ba 0.0000 0.0000 0.0000
As 1.6848 0.0000 2.8354
As 0.0000 2.9817 1.7759
Rh 0.0000 0.0000 4.6113

***

! GGA-PBEsol SrBi2B4O10, optimized geometry; values from VASP
! SG	P-1
! calculated total energy	-7.604	eV/atom
&SYSTEM
  ibrav = 0, nat = 34, ntyp = 4
/
ATOMIC_SPECIES
Sr 87.62 Sr.upf
Bi 208.98 Bi.upf
B 10.81 B.upf
O 16.00 O.upf
CELL_PARAMETERS angstrom
6.7605 0.0000 0.0000
-1.4670 6.6568 0.0000
-3.1927 -1.7355 9.1212
ATOMIC_POSITIONS angstrom
Sr -0.8010 2.0235 1.5414
Sr 2.9019 2.8979 7.5798
Bi -0.4997 5.1809 3.0509
Bi -0.5718 2.1040 5.4477
Bi 2.6727 2.8173 3.6735
Bi 2.6006 -0.2596 6.0703
B -2.2942 4.8850 5.7549
B -1.5878 -0.0565 7.5312
B 1.4022 4.5732 0.6537
B 2.1191 1.4665 0.8767
B -0.0182 3.4548 8.2446
B 0.6987 0.3482 8.4675
B 3.6887 4.9779 1.5900
B 4.3950 0.0363 3.3663
O -2.4537 0.8672 6.8226
O -2.4156 3.5337 5.4685
O -3.0891 5.2807 6.8466
O 0.0977 4.3319 0.8611
O -1.9776 -0.2826 8.9571
O -0.0186 -0.9165 5.0558
O 0.2380 3.3053 3.7504
O -1.3821 3.2730 8.5084
O -0.2296 0.5070 7.4780
O 1.6885 1.3559 2.1613
O 0.4123 3.5655 6.9599
O 2.3305 4.4144 1.6432
O 3.4830 1.6483 0.6128
O 1.8629 1.6161 5.3708
O 2.1195 5.8379 4.0654
O 4.0785 5.2040 0.1642
O 2.0032 0.5895 8.2601
O 5.1900 -0.3594 2.2746
O 4.5165 1.3876 3.6527
O 4.5546 4.0542 2.2987

***

! GGA-PBEsol Na5HfAs3, optimized geometry; values from VASP
! SG	P2_1/c
! DFT formation energy	-560.2	meV per atom
&SYSTEM
  ibrav = 0, nat = 36, ntyp = 3
/
ATOMIC_SPECIES
Na 22.99 Na.upf
Hf 178.49 Hf.upf
As 74.92 As.upf
CELL_PARAMETERS angstrom
8.4328 0.0000 0.0000
0.0000 7.4558 0.0000
-8.2904 0.0000 13.7569
ATOMIC_POSITIONS angstrom
Na -0.6493 1.2220 1.1145
Na -4.7945 2.5059 7.9929
Na -5.6255 0.0597 10.4825
Na -1.4803 3.6682 3.6040
Na 1.4410 3.8121 1.2788
Na -2.7042 7.3716 8.1572
Na -3.4610 4.8855 10.2199
Na 0.6842 6.2982 3.3415
Na 2.7052 0.2115 1.1578
Na -1.4400 3.5165 8.0363
Na 1.5824 3.9394 5.7206
Na -2.5627 7.2444 12.5990
Na -0.5417 1.1576 10.4154
Na 3.6035 2.5703 3.5369
Na 2.8466 0.0842 5.5997
Na -1.2985 3.6437 12.4781
Na 1.6227 3.7876 10.1529
Na 5.7679 7.3961 3.2744
Na 4.9370 4.9499 5.7640
Na 0.7918 6.2338 12.6424
Hf -0.5654 1.0625 5.6895
Hf -4.7106 2.6654 12.5680
Hf 4.8530 4.7905 1.1889
Hf 0.7078 6.3933 8.0673
As -7.1281 1.8137 12.6127
As -2.9829 1.9142 5.7342
As -4.8356 5.2755 12.8047
As -0.6904 5.9083 5.9263
As 0.7924 1.7772 3.6390
As -3.3528 1.9507 10.5174
As 3.4952 5.5051 3.2395
As -0.6500 5.6786 10.1179
As 0.8328 1.5476 7.8306
As 4.9780 2.1804 0.9522
As 3.1254 5.5416 8.0227
As 7.2705 5.6421 1.1442

***

! GGA-PBEsol CuAsRh2, optimized geometry; values from VASP
! SG	Pm
! DFT formation energy	-77.0	meV per atom
&SYSTEM
  ibrav = 0, nat = 4, ntyp = 3
/
ATOMIC_SPECIES
Cu 63.55 Cu.upf
As 74.92 As.upf
Rh 102.91 Rh.upf
CELL_PARAMETERS angstrom
2.8365 0.0000 0.0000
0.0000 4.0079 0.0000
-1.4316 0.0000 4.7050
ATOMIC_POSITIONS angstrom
Cu 0.0000 0.0000 0.0000
As 1.4046 2.0039 3.2734
Rh -0.0131 0.0000 2.4861
Rh 1.4176 2.0039 0.8115

***

! GGA-PBEsol CaCo5, optimized geometry; values from VASP
! SG	Cm
! DFT formation energy	323.8	meV per atom
&SYSTEM
  ibrav = 0, nat = 6, ntyp = 2
/
ATOMIC_SPECIES
Ca 40.08 Ca.upf
Co 58.93 Co.upf
CELL_PARAMETERS angstrom
5.3413 -1.3007 0.0000
5.3413 1.3007 0.0000
-0.5924 0.0000 5.7124
ATOMIC_POSITIONS angstrom
Ca 0.0000 0.0000 0.0000
Co 2.7943 0.0000 1.5214
Co 2.8670 0.0000 3.8136
Co 6.4862 0.0000 2.8243
Co 7.2118 0.0000 5.3898
Co 9.8286 0.0000 2.7103

***

! GGA-PBEsol KP2CO, optimized geometry; values from VASP
! SG	P4/mmm
! calculated total energy	-2.379	eV/atom
&SYSTEM
  ibrav = 0, nat = 5, ntyp = 4
/
ATOMIC_SPECIES
K 39.10 K.upf
P 30.97 P.upf
C 12.01 C.upf
O 16.00 O.upf
CELL_PARAMETERS angstrom
6.5368 0.0000 0.0000
0.0000 6.5368 0.0000
0.0000 0.0000 4.6548
ATOMIC_POSITIONS angstrom
K 0.0000 0.0000 0.0000
P 0.0000 3.2684 0.0000
P 3.2684 0.0000 0.0000
C 3.2684 3.2684 2.3274
O 0.0000 0.0000 2.3274

***

! GGA-PBEsol LiAg5, optimized geometry; values from VASP
! SG	Amm2
! DFT formation energy	-72.2	meV per atom
! energy relative to the lowest polymorph listed for this composition	14	meV per atom
&SYSTEM
  ibrav = 0, nat = 6, ntyp = 2
/
ATOMIC_SPECIES
Li 6.94 Li.upf
Ag 107.87 Ag.upf
CELL_PARAMETERS angstrom
4.6703 0.0000 0.0000
0.0000 1.4219 7.3674
0.0000 -1.4219 7.3674
ATOMIC_POSITIONS angstrom
Li 0.0000 0.0000 0.0000
Ag 0.0000 0.0000 4.9492
Ag 0.0000 0.0000 9.8031
Ag 2.3352 0.0000 3.2669
Ag 2.3352 0.0000 8.1782
Ag 2.3352 0.0000 13.1239

***

! GGA-PBEsol Ca2CrPb, optimized geometry; values from VASP
! SG	P4/mmm
! DFT formation energy	92.7	meV per atom
&SYSTEM
  ibrav = 0, nat = 4, ntyp = 3
/
ATOMIC_SPECIES
Ca 40.08 Ca.upf
Cr 52.00 Cr.upf
Pb 207.20 Pb.upf
CELL_PARAMETERS angstrom
4.8373 0.0000 0.0000
0.0000 4.8373 0.0000
0.0000 0.0000 4.4322
ATOMIC_POSITIONS angstrom
Ca 0.0000 2.4186 0.0000
Ca 2.4186 0.0000 0.0000
Cr 0.0000 0.0000 2.2161
Pb 2.4186 2.4186 2.2161

***

! GGA-PBEsol Mg2TlCd, optimized geometry; values from VASP
! SG	Cmmm
! DFT formation energy	-82.4	meV per atom
&SYSTEM
  ibrav = 0, nat = 4, ntyp = 3
/
ATOMIC_SPECIES
Mg 24.30 Mg.upf
Tl 204.38 Tl.upf
Cd 112.41 Cd.upf
CELL_PARAMETERS angstrom
3.3106 -4.0813 0.0000
3.3106 4.0813 0.0000
0.0000 0.0000 3.2813
ATOMIC_POSITIONS angstrom
Mg 1.6553 2.0407 0.0000
Mg 1.6553 -2.0407 0.0000
Tl 0.0000 0.0000 1.6407
Cd 3.3106 0.0000 1.6407

***

! GGA-PBEsol FeS, optimized geometry; values from VASP
! SG	P6_3mc
! calculated total energy	-6.998	eV/atom
&SYSTEM
  ibrav = 0, nat = 4, ntyp = 2
/
ATOMIC_SPECIES
Fe 55.84 Fe.upf
S 32.06 S.upf
CELL_PARAMETERS angstrom
3.3008 0.0000 0.0000
-1.6504 2.8586 0.0000
0.0000 0.0000 6.0602
ATOMIC_POSITIONS angstrom
Fe 0.0000 1.9057 0.0000
Fe 1.6504 0.9529 3.0301
S 0.0000 1.9057 2.1587
S 1.6504 0.9529 5.1888

***

! GGA-PBEsol Sb2RhIO, optimized geometry; values from VASP
! SG	P4/mmm
! calculated total energy	-4.482	eV/atom
&SYSTEM
  ibrav = 0, nat = 5, ntyp = 4
/
ATOMIC_SPECIES
Sb 121.76 Sb.upf
Rh 102.91 Rh.upf
I 126.90 I.upf
O 16.00 O.upf
CELL_PARAMETERS angstrom
4.5030 0.0000 0.0000
0.0000 4.5030 0.0000
0.0000 0.0000 5.0567
ATOMIC_POSITIONS angstrom
Sb 0.0000 2.2515 0.0000
Sb 2.2515 0.0000 0.0000
Rh 0.0000 0.0000 2.5283
I 2.2515 2.2515 2.5283
O 2.2515 2.2515 0.0000